Record 1
DFT (PBE-GGA) results for a geometry-optimized Ba2FeH2 structure.

The calculation puts the density of states at the Fermi level at 1.0649 states/eV/atom.

The structure belongs to space group I4/mmm (No. 139); the cell edges are 4.245, 4.245 and 14.484 Å and the angles 90.00°, 90.00° and 90.00°. Symmetry generates all atoms from Ba at (0.000, 0.000, 0.144), Fe at (0.000, 0.000, 0.500) and H at (0.000, 0.500, 0.250).

---

Record 2
DFT (PBE-GGA) results for a geometry-optimized Tb7CeSm4 structure.

The formation energy is 1.3 eV/f.u. The calculation puts the density of states at the Fermi level at 1.9875 states/eV/atom.

The structure belongs to space group P-1 (No. 2); the cell edges are 6.561, 6.849 and 9.129 Å and the angles 85.38°, 76.97° and 82.16°. Symmetry generates all atoms from Tb at (0.000, 0.000, 0.000), Tb at (0.190, 0.604, 0.386), Tb at (0.320, 0.195, 0.639), Tb at (0.489, 0.748, 0.052), Ce at (0.000, 0.500, 0.000), Sm at (0.162, 0.113, 0.311) and Sm at (0.357, 0.689, 0.719).

---

Record 3
DFT (PBE-GGA) results for a geometry-optimized SrZr2NpO8 structure.

The value obtained for the uncorrected formation energy is -3.04 eV/atom.

The structure belongs to space group P2/m (No. 10); the cell edges are 5.085, 6.830 and 5.089 Å and the angles 90.00°, 91.37° and 90.00°. Symmetry generates all atoms from Sr at (0.000, 0.000, 0.000), Zr at (0.500, 0.244, 0.500), Np at (0.000, 0.500, 0.000), O at (0.204, 0.288, 0.203), O at (0.299, 0.500, 0.700) and O at (0.327, 0.000, 0.671).

---

Record 4
DFT (PBE-GGA) results for a geometry-optimized Sm2AlNi3Ge4 structure.

The formation energy is -6.8 eV/f.u. The calculation puts the density of states at the Fermi level at 0.4032 states/eV/atom.

The structure belongs to space group P-4m2 (No. 115); the cell edges are 4.088, 4.088 and 10.251 Å and the angles 90.00°, 90.00° and 90.00°. Symmetry generates all atoms from Sm at (0.000, 0.500, 0.240), Al at (0.000, 0.000, 0.500), Ni at (0.000, 0.500, 0.877), Ni at (0.500, 0.500, 0.500), Ge at (0.000, 0.000, 0.000), Ge at (0.000, 0.500, 0.647) and Ge at (0.500, 0.500, 0.000).

---

Record 5
DFT (PBE-GGA) results for a geometry-optimized Bi2PHPd6 structure.

The calculation puts the density of states at the Fermi level at 0.4556 states/eV/atom.

The structure belongs to space group C2/m (No. 12); the cell edges are 8.723, 8.709 and 6.136 Å and the angles 90.00°, 134.16° and 90.00°. Symmetry generates all atoms from Bi at (0.000, 0.247, 0.000), P at (0.000, 0.000, 0.500), H at (0.000, 0.500, 0.500), Pd at (0.000, 0.264, 0.500), Pd at (0.233, 0.500, 0.493) and Pd at (0.235, 0.500, 0.977).

---

Record 6
DFT (PBE-GGA) results for a geometry-optimized Pm6CuRu2Cl3 structure.

The calculation puts the density of states at the Fermi level at 0.3097 states/eV/atom. The value obtained for the uncorrected formation energy is -0.90 eV/atom.

The structure belongs to space group C2/m (No. 12); the cell edges are 6.996, 12.121 and 7.938 Å and the angles 90.00°, 107.08° and 90.00°. Symmetry generates all atoms from Pm at (0.222, 0.000, 0.207), Pm at (0.242, 0.327, 0.207), Cu at (0.000, 0.500, 0.000), Ru at (0.000, 0.166, 0.000), Cl at (0.000, 0.000, 0.500) and Cl at (0.000, 0.329, 0.500).

---

Record 7
DFT (PBE-GGA) results for a geometry-optimized Ba2TeAs2 structure.

The calculation puts the density of states at the Fermi level at 1.0734 states/eV/atom. The energy above the lowest structure with this stoichiometry is 0.97 eV per formula unit. The value obtained for the uncorrected formation energy is -0.85 eV/atom.

The structure belongs to space group I4/mmm (No. 139); the cell edges are 6.366, 6.366 and 8.779 Å and the angles 90.00°, 90.00° and 90.00°. Symmetry generates all atoms from Ba at (0.000, 0.500, 0.250), Te at (0.000, 0.000, 0.000) and As at (0.000, 0.000, 0.358).

---

Record 8
DFT (PBE-GGA) results for a geometry-optimized TcSbPt structure.

The calculation puts the density of states at the Fermi level at 0.6535 states/eV/atom. The energy above the lowest structure with this stoichiometry is 0.25 eV per formula unit. The value obtained for the uncorrected formation energy is 0.21 eV/atom.

The structure belongs to space group P3m1 (No. 156); the cell edges are 4.4267, 4.4267 and 3.1164 Å and the angles 90.00°, 90.00° and 120.00°. Symmetry generates all atoms from Tc at (0.0000, 0.0000, 0.0000), Sb at (0.6667, 0.3333, 0.7209) and Pt at (0.3333, 0.6667, 0.4700).

---

What are the electronic total energy values for these records? In order: -3.629, -4.663, -8.991, -5.581, -5.061, -5.620, -4.104, -6.633 eV per atom.